A geometry-optimized Co2OsBr structure. Source: Alexandria via LeMat-Bulk, functional GGA-PBEsol.

abc: 2.677 2.677 9.398
angles: 90.00 90.00 118.19
Fractional positions:
Co1 0.000 0.000 0.000
Co2 0.500 0.500 0.198
Os1 0.500 0.500 0.781
Br1 0.000 0.000 0.433

D(E_F)   5.49 states/eV/f.u.
E   -6.50 eV per atom
Mass density   10.9 g/cm3
Energy above the lowest structure with this stoichiometry   371 meV per atom

A geometry-optimized Co2OsBr structure. Source: Alexandria via LeMat-Bulk, functional GGA-PBEsol.

abc: 2.985 2.985 6.071
angles: 90.00 90.00 90.00
Fractional positions:
Co1 0.000 0.000 0.000
Co2 0.500 0.500 0.213
Os1 0.000 0.000 0.410
Br1 0.500 0.500 0.758

D(E_F)   4.71 states/eV/f.u.
E   -6.63 eV per atom
Mass density   11.9 g/cm3
Energy above the lowest structure with this stoichiometry   239 meV per atom